First-principles (PBE) data for an optimized crystal structure of Mn2CuIr, as listed in Alexandria.

Results
final energy: -31.06 eV/cell
energy relative to the elements: 0.0584 eV/atom

```
Mn2CuIr
1.0
2.725 0.000 0.000
0.000 3.660 0.000
0.000 0.000 5.188
Mn Ir Cu
2 1 1
Direct
0.000 0.000 0.999
0.000 0.000 0.501
0.500 0.500 0.750
0.500 0.500 0.250
```

=====

First-principles (PBE) data for an optimized crystal structure of Sc2PtPb, as listed in Alexandria.

Results
final energy: -24.21 eV/cell
energy relative to the elements: -0.4483 eV/atom

```
Sc2PtPb
1.0
-7.773 -2.173 4.623
-6.762 1.023 6.304
-8.699 1.124 3.095
Sc Pt Pb
2 1 1
Direct
0.889 0.889 0.889
0.111 0.111 0.111
0.500 0.500 0.500
0.000 0.000 0.000
```